The following is a PBE-GGA calculation of an optimized crystal structure of NbP3Pd, from Alexandria.

abc: 4.771 4.771 4.771
angles: 90.00 90.00 90.00
Fractional positions:
Nb  0.000  0.000  0.000
P  0.000  0.000  0.500
P  0.000  0.500  0.000
P  0.500  0.000  0.000
Pd  0.500  0.500  0.500

Output
**Fermi-level density of states**: 2.3 states/eV per cell
**Energy above the most stable polymorph in this dataset**: 0.0000 eV/atom
**Calculated volume**: 21.72 Å³/atom



The following is a PBE-GGA calculation of an optimized crystal structure of MnTcNiCl2, from Alexandria.

abc: 4.701 4.701 4.705
angles: 90.00 90.00 90.00
Fractional positions:
Mn  0.000  0.000  0.000
Tc  0.500  0.500  0.500
Ni  0.500  0.500  0.000
Cl  0.000  0.500  0.500
Cl  0.500  0.000  0.500

Output
**Fermi-level density of states**: 5.8 states/eV per cell
**Energy above the most stable polymorph in this dataset**: 0.0000 eV/atom
**Formation energy (no corrections)**: 0.748 eV/atom
**Calculated volume**: 20.80 Å³/atom



The following is a PBE-GGA calculation of an optimized crystal structure of SrLaPm2Se4, from Alexandria.

abc: 7.413 4.252 7.429
angles: 90.00 109.13 90.00
Fractional positions:
Sr  0.000  0.000  0.000
La  0.500  0.500  0.000
Pm  0.000  0.500  0.500
Pm  0.500  0.000  0.500
Se  0.247  0.000  0.742
Se  0.254  0.500  0.259
Se  0.746  0.500  0.741
Se  0.753  0.000  0.258

Output
**Fermi-level density of states**: 3.6 states/eV per cell
**Formation energy (no corrections)**: -1.913 eV/atom
**Calculated volume**: 27.65 Å³/atom



The following is a PBE-GGA calculation of an optimized crystal structure of NaCrSnAu2, from Alexandria.

abc: 4.982 4.982 4.868
angles: 90.00 90.00 90.00
Fractional positions:
Na  0.000  0.000  0.000
Cr  0.000  0.000  0.500
Sn  0.500  0.500  0.500
Au  0.000  0.500  0.000
Au  0.500  0.000  0.000

Output
**Fermi-level density of states**: 2.3 states/eV per cell
**Uncorrected energy**: -17.069 eV/cell
**Calculated volume**: 24.16 Å³/atom



The following is a PBE-GGA calculation of an optimized crystal structure of LuHfAg2, from Alexandria.

abc: 3.385 3.385 7.375
angles: 90.00 90.00 90.00
Fractional positions:
Lu  0.000  0.000  0.000
Hf  0.000  0.000  0.500
Ag  0.500  0.500  0.261
Ag  0.500  0.500  0.739

Output
**Fermi-level density of states**: 3.3 states/eV per cell
**Energy above the most stable polymorph in this dataset**: 0.0000 eV/atom
**Calculated volume**: 21.13 Å³/atom



The following is a PBE-GGA calculation of an optimized crystal structure of KY2Cd, from Alexandria.

abc: 12.246 12.246 12.246
angles: 17.32 17.32 17.32
Fractional positions:
K  0.000  0.000  0.000
Y  0.233  0.233  0.233
Y  0.767  0.767  0.767
Cd  0.500  0.500  0.500

Output
**Fermi-level density of states**: 5.4 states/eV per cell
**Uncorrected energy**: -14.373 eV/cell
**Calculated volume**: 35.49 Å³/atom



The following is a PBE-GGA calculation of an optimized crystal structure of TbDy6Mg, from Alexandria.

abc: 6.067 6.067 9.888
angles: 114.03 114.03 48.61
Fractional positions:
Tb  0.000  0.000  0.000
Dy  0.245  0.245  0.376
Dy  0.250  0.250  0.873
Dy  0.498  0.498  0.250
Dy  0.502  0.502  0.750
Dy  0.750  0.750  0.127
Dy  0.755  0.755  0.624
Mg  0.000  0.000  0.500

Output
**Fermi-level density of states**: 12.3 states/eV per cell
**Energy above the most stable polymorph in this dataset**: 0.0000 eV/atom
**Calculated volume**: 30.53 Å³/atom



The following is a PBE-GGA calculation of an optimized crystal structure of Pm6GaRu2, from Alexandria.

abc: 8.607 8.607 8.607
angles: 112.70 111.36 104.46
Fractional positions:
Pm  0.044  0.240  0.804
Pm  0.180  0.282  0.461
Pm  0.180  0.718  0.898
Pm  0.330  0.018  0.688
Pm  0.330  0.642  0.312
Pm  0.436  0.240  0.196
Pm  0.564  0.760  0.804
Pm  0.670  0.358  0.688
Pm  0.670  0.982  0.312
Pm  0.820  0.282  0.102
Pm  0.820  0.718  0.539
Pm  0.956  0.760  0.196
Ga  0.000  0.000  0.000
Ga  0.500  0.500  0.000
Ru  0.126  0.626  0.500
Ru  0.319  0.000  0.319
Ru  0.681  0.000  0.681
Ru  0.874  0.374  0.500

Output
**Fermi-level density of states**: 14.5 states/eV per cell
**Energy above the most stable polymorph in this dataset**: 0.0000 eV/atom
**Calculated volume**: 27.11 Å³/atom



The following is a PBE-GGA calculation of an optimized crystal structure of DyFePd, from Alexandria.

abc: 3.197 3.197 10.385
angles: 90.00 90.00 95.63
Fractional positions:
Dy  0.000  0.000  0.164
Dy  0.000  0.000  0.836
Fe  0.000  0.000  0.500
Fe  0.500  0.500  0.000
Pd  0.500  0.500  0.362
Pd  0.500  0.500  0.638

Output
**Fermi-level density of states**: 5.9 states/eV per cell
**Uncorrected energy**: -37.337 eV/cell
**Calculated volume**: 17.60 Å³/atom



The following is a PBE-GGA calculation of an optimized crystal structure of AcInPb2, from Alexandria.

abc: 6.272 6.272 6.272
angles: 49.89 49.89 49.89
Fractional positions:
Ac  0.000  0.000  0.000
In  0.500  0.500  0.500
Pb  0.224  0.224  0.224
Pb  0.776  0.776  0.776

Output
**Fermi-level density of states**: 2.1 states/eV per cell
**Uncorrected energy**: -15.134 eV/cell
**Calculated volume**: 33.20 Å³/atom



The following is a PBE-GGA calculation of an optimized crystal structure of B2C, from Alexandria.

abc: 2.621 2.621 14.325
angles: 90.00 90.00 120.00
Fractional positions:
B  0.000  0.000  0.000
B  0.000  0.000  0.117
B  0.000  0.000  0.511
B  0.333  0.667  0.189
B  0.333  0.667  0.772
B  0.667  0.333  0.318
B  0.667  0.333  0.449
B  0.667  0.333  0.926
C  0.000  0.000  0.624
C  0.333  0.667  0.299
C  0.333  0.667  0.658
C  0.667  0.333  0.819

Output
**Fermi-level density of states**: 2.0 states/eV per cell
**Energy above the most stable polymorph in this dataset**: 0.3556 eV/atom
**Calculated volume**: 7.10 Å³/atom



The following is a PBE-GGA calculation of an optimized crystal structure of LiRhSe2Br, from Alexandria.

abc: 4.849 4.849 5.425
angles: 90.00 90.00 90.00
Fractional positions:
Li  0.000  0.000  0.000
Rh  0.500  0.500  0.500
Se  0.000  0.500  0.500
Se  0.500  0.000  0.500
Br  0.500  0.500  0.000

Output
**Fermi-level density of states**: 6.1 states/eV per cell
**Energy above the most stable polymorph in this dataset**: 0.0000 eV/atom
**Formation energy (no corrections)**: -0.142 eV/atom
**Calculated volume**: 25.51 Å³/atom



Q: What is the formula in the second record?
A: MnTcNiCl2



Q: calculated volume of number 12 (LiRhSe2Br)?
A: 25.51 Å³/atom



Q: Look up the Fermi-level density of states of the fifth one.
A: 3.3 states/eV per cell



Q: Look up the Fermi-level density of states of the fifth one.
A: 3.3 states/eV per cell